Computed, not measured: Ba2TlIr2 after structural relaxation at the GGA-PBE level of DFT.

```
data_Ba2TlIr2
_space_group_name_H-M_alt 'P 1'
_space_group_IT_number 1
_space_group_name_Hall 'P 1'
_cell_length_a 7.533
_cell_length_b 7.533
_cell_length_c 4.971
_cell_angle_alpha 90.00
_cell_angle_beta 90.00
_cell_angle_gamma 90.00
loop_
_atom_site_label
_atom_site_type_symbol
_atom_site_fract_x
_atom_site_fract_y
_atom_site_fract_z
_atom_site_occupancy
Tl1 Tl 0.500 0.500 0.000 1
Tl2 Tl 0.000 0.000 0.000 1
Ba1 Ba 0.822 0.322 0.500 1
Ba2 Ba 0.322 0.178 0.500 1
Ba3 Ba 0.678 0.822 0.500 1
Ba4 Ba 0.178 0.678 0.500 1
Ir1 Ir 0.116 0.384 0.000 1
Ir2 Ir 0.384 0.884 0.000 1
Ir3 Ir 0.884 0.616 0.000 1
Ir4 Ir 0.616 0.116 0.000 1
```

VASP energy, eV/atom: -4.7905
DFT formation energy, meV per atom: -4
DOS(E_F), states/eV per atom: 0.58
Volume, Å³ per atom: 28.21
Space-group type: P4/mbm


Computed, not measured: Ba2TlIr after structural relaxation at the GGA-PBE level of DFT.

```
data_Ba2TlIr
_space_group_name_H-M_alt 'P 1'
_space_group_IT_number 1
_space_group_name_Hall 'P 1'
_cell_length_a 5.977
_cell_length_b 5.977
_cell_length_c 5.977
_cell_angle_alpha 130.63
_cell_angle_beta 130.63
_cell_angle_gamma 72.40
loop_
_atom_site_label
_atom_site_type_symbol
_atom_site_fract_x
_atom_site_fract_y
_atom_site_fract_z
_atom_site_occupancy
Tl1 Tl 0.750 0.250 0.500 1
Ir1 Ir 0.500 0.500 0.000 1
Ba1 Ba 0.000 0.000 0.000 1
Ba2 Ba 0.250 0.750 0.500 1
```

VASP energy, eV/atom: -3.6128
Polymorph energy (0 for the lowest one), meV/atom: 291
DFT formation energy, meV per atom: 155
DOS(E_F), states/eV per atom: 0.94
Volume, Å³ per atom: 30.06
Space-group type: I-4m2


Computed, not measured: Ba2TlIr after structural relaxation at the GGA-PBE level of DFT.

```
data_Ba2TlIr
_space_group_name_H-M_alt 'P 1'
_space_group_IT_number 1
_space_group_name_Hall 'P 1'
_cell_length_a 4.449
_cell_length_b 4.449
_cell_length_c 9.492
_cell_angle_alpha 76.44
_cell_angle_beta 76.44
_cell_angle_gamma 59.98
loop_
_atom_site_label
_atom_site_type_symbol
_atom_site_fract_x
_atom_site_fract_y
_atom_site_fract_z
_atom_site_occupancy
Ba1 Ba 0.479 0.479 0.564 1
Ba2 Ba 0.021 0.021 0.936 1
Ir1 Ir 0.750 0.750 0.750 1
Tl1 Tl 0.250 0.250 0.250 1
```

VASP energy, eV/atom: -3.7726
Polymorph energy (0 for the lowest one), meV/atom: 131
DFT formation energy, meV per atom: -4
DOS(E_F), states/eV per atom: 0.75
Volume, Å³ per atom: 39.15
Space-group type: R-3m


Computed, not measured: BaTlIr3 after structural relaxation at the GGA-PBE level of DFT.

```
data_BaTlIr3
_space_group_name_H-M_alt 'P 1'
_space_group_IT_number 1
_space_group_name_Hall 'P 1'
_cell_length_a 5.230
_cell_length_b 5.230
_cell_length_c 5.230
_cell_angle_alpha 90.00
_cell_angle_beta 90.00
_cell_angle_gamma 90.00
loop_
_atom_site_label
_atom_site_type_symbol
_atom_site_fract_x
_atom_site_fract_y
_atom_site_fract_z
_atom_site_occupancy
Ir1 Ir 0.000 0.500 0.000 1
Ir2 Ir 0.000 0.000 0.500 1
Ir3 Ir 0.500 0.000 0.000 1
Tl1 Tl 0.500 0.500 0.500 1
Ba1 Ba 0.000 0.000 0.000 1
```

VASP energy, eV/atom: -3.6970
Polymorph energy (0 for the lowest one), meV/atom: 1108
DFT formation energy, meV per atom: 2477
DOS(E_F), states/eV per atom: 1.48
Volume, Å³ per atom: 28.62
Space-group type: Pm-3m


Computed, not measured: BaTl2Ir after structural relaxation at the GGA-PBE level of DFT.

```
data_BaTl2Ir
_space_group_name_H-M_alt 'P 1'
_space_group_IT_number 1
_space_group_name_Hall 'P 1'
_cell_length_a 4.826
_cell_length_b 4.826
_cell_length_c 6.503
_cell_angle_alpha 68.28
_cell_angle_beta 68.28
_cell_angle_gamma 60.13
loop_
_atom_site_label
_atom_site_type_symbol
_atom_site_fract_x
_atom_site_fract_y
_atom_site_fract_z
_atom_site_occupancy
Tl1 Tl 0.961 0.961 0.118 1
Tl2 Tl 0.716 0.716 0.853 1
Ba1 Ba 0.506 0.506 0.481 1
Ir1 Ir 0.318 0.318 0.048 1
```

VASP energy, eV/atom: -3.9292
DFT formation energy, meV per atom: -50
DOS(E_F), states/eV per atom: 0.56
Volume, Å³ per atom: 29.67
Space-group type: Cm


Computed, not measured: BaTl2Ir after structural relaxation at the GGA-PBE level of DFT.

```
data_BaTl2Ir
_space_group_name_H-M_alt 'P 1'
_space_group_IT_number 1
_space_group_name_Hall 'P 1'
_cell_length_a 4.710
_cell_length_b 4.710
_cell_length_c 6.684
_cell_angle_alpha 69.03
_cell_angle_beta 69.03
_cell_angle_gamma 60.44
loop_
_atom_site_label
_atom_site_type_symbol
_atom_site_fract_x
_atom_site_fract_y
_atom_site_fract_z
_atom_site_occupancy
Tl1 Tl 0.536 0.536 0.392 1
Tl2 Tl 0.964 0.964 0.108 1
Ba1 Ba 0.750 0.750 0.750 1
Ir1 Ir 0.250 0.250 0.250 1
```

VASP energy, eV/atom: -3.8940
DFT formation energy, meV per atom: -15
DOS(E_F), states/eV per atom: 0.74
Volume, Å³ per atom: 29.34
Space-group type: C2/m


Computed, not measured: BaTl2Ir after structural relaxation at the GGA-PBE level of DFT.

```
data_BaTl2Ir
_space_group_name_H-M_alt 'P 1'
_space_group_IT_number 1
_space_group_name_Hall 'P 1'
_cell_length_a 3.759
_cell_length_b 3.759
_cell_length_c 7.937
_cell_angle_alpha 90.00
_cell_angle_beta 90.00
_cell_angle_gamma 90.00
loop_
_atom_site_label
_atom_site_type_symbol
_atom_site_fract_x
_atom_site_fract_y
_atom_site_fract_z
_atom_site_occupancy
Tl1 Tl 0.000 0.000 0.954 1
Tl2 Tl 0.500 0.500 0.197 1
Ir1 Ir 0.500 0.500 0.809 1
Ba1 Ba 0.000 0.000 0.541 1
```

VASP energy, eV/atom: -3.7473
DFT formation energy, meV per atom: 132
DOS(E_F), states/eV per atom: 0.78
Volume, Å³ per atom: 28.04
Space-group type: P4mm


Computed, not measured: BaTl2Ir after structural relaxation at the GGA-PBE level of DFT.

```
data_BaTl2Ir
_space_group_name_H-M_alt 'P 1'
_space_group_IT_number 1
_space_group_name_Hall 'P 1'
_cell_length_a 6.058
_cell_length_b 6.058
_cell_length_c 3.448
_cell_angle_alpha 90.00
_cell_angle_beta 90.00
_cell_angle_gamma 118.53
loop_
_atom_site_label
_atom_site_type_symbol
_atom_site_fract_x
_atom_site_fract_y
_atom_site_fract_z
_atom_site_occupancy
Tl1 Tl 0.000 0.000 0.000 1
Tl2 Tl 0.500 0.500 0.000 1
Ir1 Ir 0.000 0.500 0.500 1
Ba1 Ba 0.500 0.000 0.500 1
```

VASP energy, eV/atom: -3.4073
DFT formation energy, meV per atom: 472
DOS(E_F), states/eV per atom: 0.78
Volume, Å³ per atom: 27.80
Space-group type: Cmmm


Computed, not measured: BaTl2Ir after structural relaxation at the GGA-PBE level of DFT.

```
data_BaTl2Ir
_space_group_name_H-M_alt 'P 1'
_space_group_IT_number 1
_space_group_name_Hall 'P 1'
_cell_length_a 4.389
_cell_length_b 5.615
_cell_length_c 5.614
_cell_angle_alpha 65.95
_cell_angle_beta 90.00
_cell_angle_gamma 90.00
loop_
_atom_site_label
_atom_site_type_symbol
_atom_site_fract_x
_atom_site_fract_y
_atom_site_fract_z
_atom_site_occupancy
Tl1 Tl 0.000 0.572 0.572 1
Tl2 Tl 0.000 0.928 0.928 1
Ba1 Ba 0.500 0.250 0.250 1
Ir1 Ir 0.500 0.750 0.750 1
```

VASP energy, eV/atom: -3.8893
DFT formation energy, meV per atom: -10
DOS(E_F), states/eV per atom: 0.57
Volume, Å³ per atom: 31.59
Space-group type: Cmmm


Computed, not measured: BaTl2Ir after structural relaxation at the GGA-PBE level of DFT.

```
data_BaTl2Ir
_space_group_name_H-M_alt 'P 1'
_space_group_IT_number 1
_space_group_name_Hall 'P 1'
_cell_length_a 5.627
_cell_length_b 5.627
_cell_length_c 5.627
_cell_angle_alpha 128.29
_cell_angle_beta 128.29
_cell_angle_gamma 76.15
loop_
_atom_site_label
_atom_site_type_symbol
_atom_site_fract_x
_atom_site_fract_y
_atom_site_fract_z
_atom_site_occupancy
Tl1 Tl 0.500 0.500 0.000 1
Tl2 Tl 0.000 0.000 0.000 1
Ir1 Ir 0.750 0.250 0.500 1
Ba1 Ba 0.250 0.750 0.500 1
```

VASP energy, eV/atom: -3.6886
DFT formation energy, meV per atom: 190
DOS(E_F), states/eV per atom: 0.65
Volume, Å³ per atom: 26.67
Space-group type: I4/mmm


Computed, not measured: BaTlIr after structural relaxation at the GGA-PBE level of DFT.

```
data_BaTlIr
_space_group_name_H-M_alt 'P 1'
_space_group_IT_number 1
_space_group_name_Hall 'P 1'
_cell_length_a 5.057
_cell_length_b 5.057
_cell_length_c 5.057
_cell_angle_alpha 60.00
_cell_angle_beta 60.00
_cell_angle_gamma 60.00
loop_
_atom_site_label
_atom_site_type_symbol
_atom_site_fract_x
_atom_site_fract_y
_atom_site_fract_z
_atom_site_occupancy
Ba1 Ba 0.500 0.500 0.500 1
Ir1 Ir 0.750 0.750 0.750 1
Tl1 Tl 0.000 0.000 0.000 1
```

VASP energy, eV/atom: -4.3107
DFT formation energy, meV per atom: 73
DOS(E_F), states/eV per atom: 0.22
Volume, Å³ per atom: 30.48
Space-group type: F-43m


Computed, not measured: BaTl2ZnIr after structural relaxation at the GGA-PBE level of DFT.

```
data_BaTl2ZnIr
_space_group_name_H-M_alt 'P 1'
_space_group_IT_number 1
_space_group_name_Hall 'P 1'
_cell_length_a 5.304
_cell_length_b 5.304
_cell_length_c 5.020
_cell_angle_alpha 90.00
_cell_angle_beta 90.00
_cell_angle_gamma 90.00
loop_
_atom_site_label
_atom_site_type_symbol
_atom_site_fract_x
_atom_site_fract_y
_atom_site_fract_z
_atom_site_occupancy
Tl1 Tl 0.500 0.000 0.000 1
Tl2 Tl 0.000 0.500 0.000 1
Ba1 Ba 0.500 0.500 0.500 1
Ir1 Ir 0.000 0.000 0.000 1
Zn1 Zn 0.000 0.000 0.500 1
```

VASP energy, eV/atom: -3.5083
DFT formation energy, meV per atom: -150
DOS(E_F), states/eV per atom: 0.72
Volume, Å³ per atom: 28.24
Space-group type: P4/mmm


Computed, not measured: Ba2TlZnIr after structural relaxation at the GGA-PBE level of DFT.

```
data_Ba2TlZnIr
_space_group_name_H-M_alt 'P 1'
_space_group_IT_number 1
_space_group_name_Hall 'P 1'
_cell_length_a 6.070
_cell_length_b 6.070
_cell_length_c 5.284
_cell_angle_alpha 90.00
_cell_angle_beta 90.00
_cell_angle_gamma 90.00
loop_
_atom_site_label
_atom_site_type_symbol
_atom_site_fract_x
_atom_site_fract_y
_atom_site_fract_z
_atom_site_occupancy
Ba1 Ba 0.000 0.500 0.000 1
Ba2 Ba 0.500 0.000 0.000 1
Ir1 Ir 0.000 0.000 0.000 1
Tl1 Tl 0.000 0.000 0.500 1
Zn1 Zn 0.500 0.500 0.500 1
```

VASP energy, eV/atom: -3.3309
Polymorph energy (0 for the lowest one), meV/atom: 61
DFT formation energy, meV per atom: -62
DOS(E_F), states/eV per atom: 0.63
Volume, Å³ per atom: 38.94
Space-group type: P4/mmm


Computed, not measured: BaTlZn2Ir after structural relaxation at the GGA-PBE level of DFT.

```
data_BaTlZn2Ir
_space_group_name_H-M_alt 'P 1'
_space_group_IT_number 1
_space_group_name_Hall 'P 1'
_cell_length_a 4.997
_cell_length_b 4.997
_cell_length_c 5.233
_cell_angle_alpha 90.00
_cell_angle_beta 90.00
_cell_angle_gamma 90.00
loop_
_atom_site_label
_atom_site_type_symbol
_atom_site_fract_x
_atom_site_fract_y
_atom_site_fract_z
_atom_site_occupancy
Zn1 Zn 0.000 0.500 0.000 1
Zn2 Zn 0.500 0.000 0.000 1
Tl1 Tl 0.000 0.000 0.500 1
Ir1 Ir 0.000 0.000 0.000 1
Ba1 Ba 0.500 0.500 0.500 1
```

VASP energy, eV/atom: -3.3680
DFT formation energy, meV per atom: -228
DOS(E_F), states/eV per atom: 0.56
Volume, Å³ per atom: 26.13
Space-group type: P4/mmm


Computed, not measured: Ba2TlZnIr after structural relaxation at the GGA-PBE level of DFT.

```
data_Ba2TlZnIr
_space_group_name_H-M_alt 'P 1'
_space_group_IT_number 1
_space_group_name_Hall 'P 1'
_cell_length_a 6.098
_cell_length_b 6.098
_cell_length_c 4.881
_cell_angle_alpha 90.00
_cell_angle_beta 90.00
_cell_angle_gamma 90.00
loop_
_atom_site_label
_atom_site_type_symbol
_atom_site_fract_x
_atom_site_fract_y
_atom_site_fract_z
_atom_site_occupancy
Ba1 Ba 0.500 0.000 0.000 1
Ba2 Ba 0.000 0.500 0.000 1
Ir1 Ir 0.000 0.000 0.000 1
Tl1 Tl 0.500 0.500 0.500 1
Zn1 Zn 0.000 0.000 0.500 1
```

VASP energy, eV/atom: -3.3919
Polymorph energy (0 for the lowest one), meV/atom: 0
DFT formation energy, meV per atom: -123
DOS(E_F), states/eV per atom: 0.61
Volume, Å³ per atom: 36.30
Space-group type: P4/mmm


Computed, not measured: BaV2Ir after structural relaxation at the GGA-PBE level of DFT.

```
data_BaV2Ir
_space_group_name_H-M_alt 'P 1'
_space_group_IT_number 1
_space_group_name_Hall 'P 1'
_cell_length_a 4.642
_cell_length_b 4.642
_cell_length_c 4.642
_cell_angle_alpha 60.00
_cell_angle_beta 60.00
_cell_angle_gamma 60.00
loop_
_atom_site_label
_atom_site_type_symbol
_atom_site_fract_x
_atom_site_fract_y
_atom_site_fract_z
_atom_site_occupancy
V1 V 0.750 0.750 0.750 1
V2 V 0.250 0.250 0.250 1
Ir1 Ir 0.500 0.500 0.500 1
Ba1 Ba 0.000 0.000 0.000 1
```

VASP energy, eV/atom: -6.4718
Polymorph energy (0 for the lowest one), meV/atom: 90
DFT formation energy, meV per atom: 783
DOS(E_F), states/eV per atom: 1.19
Volume, Å³ per atom: 17.69
Space-group type: Fm-3m


Computed, not measured: Ba3VIr after structural relaxation at the GGA-PBE level of DFT.

```
data_Ba3VIr
_space_group_name_H-M_alt 'P 1'
_space_group_IT_number 1
_space_group_name_Hall 'P 1'
_cell_length_a 6.063
_cell_length_b 6.063
_cell_length_c 6.063
_cell_angle_alpha 90.00
_cell_angle_beta 90.00
_cell_angle_gamma 90.00
loop_
_atom_site_label
_atom_site_type_symbol
_atom_site_fract_x
_atom_site_fract_y
_atom_site_fract_z
_atom_site_occupancy
Ir1 Ir 0.000 0.000 0.000 1
Ba1 Ba 0.000 0.500 0.000 1
Ba2 Ba 0.000 0.000 0.500 1
Ba3 Ba 0.500 0.000 0.000 1
V1 V 0.500 0.500 0.500 1
```

VASP energy, eV/atom: -4.2294
Polymorph energy (0 for the lowest one), meV/atom: 0
DFT formation energy, meV per atom: 520
DOS(E_F), states/eV per atom: 1.36
Volume, Å³ per atom: 44.58
Space-group type: Pm-3m


Computed, not measured: BaVIr2 after structural relaxation at the GGA-PBE level of DFT.

```
data_BaVIr2
_space_group_name_H-M_alt 'P 1'
_space_group_IT_number 1
_space_group_name_Hall 'P 1'
_cell_length_a 4.827
_cell_length_b 4.827
_cell_length_c 4.827
_cell_angle_alpha 60.00
_cell_angle_beta 60.00
_cell_angle_gamma 60.00
loop_
_atom_site_label
_atom_site_type_symbol
_atom_site_fract_x
_atom_site_fract_y
_atom_site_fract_z
_atom_site_occupancy
Ir1 Ir 0.750 0.750 0.750 1
Ir2 Ir 0.250 0.250 0.250 1
V1 V 0.000 0.000 0.000 1
Ba1 Ba 0.500 0.500 0.500 1
```

VASP energy, eV/atom: -6.4521
Polymorph energy (0 for the lowest one), meV/atom: 390
DFT formation energy, meV per atom: 739
DOS(E_F), states/eV per atom: 1.67
Volume, Å³ per atom: 19.88
Space-group type: Fm-3m


Computed, not measured: BaV2Ir2 after structural relaxation at the GGA-PBE level of DFT.

```
data_BaV2Ir2
_space_group_name_H-M_alt 'P 1'
_space_group_IT_number 1
_space_group_name_Hall 'P 1'
_cell_length_a 4.333
_cell_length_b 4.333
_cell_length_c 6.243
_cell_angle_alpha 69.70
_cell_angle_beta 69.70
_cell_angle_gamma 90.00
loop_
_atom_site_label
_atom_site_type_symbol
_atom_site_fract_x
_atom_site_fract_y
_atom_site_fract_z
_atom_site_occupancy
V1 V 0.250 0.750 0.500 1
V2 V 0.750 0.250 0.500 1
Ba1 Ba 0.000 0.000 0.000 1
Ir1 Ir 0.360 0.360 0.279 1
Ir2 Ir 0.640 0.640 0.721 1
```

VASP energy, eV/atom: -7.7749
DFT formation energy, meV per atom: -198
DOS(E_F), states/eV per atom: 0.72
Volume, Å³ per atom: 20.42
Space-group type: I4/mmm


Computed, not measured: BaVIr2 after structural relaxation at the GGA-PBE level of DFT.

```
data_BaVIr2
_space_group_name_H-M_alt 'P 1'
_space_group_IT_number 1
_space_group_name_Hall 'P 1'
_cell_length_a 7.411
_cell_length_b 7.411
_cell_length_c 6.283
_cell_angle_alpha 53.86
_cell_angle_beta 53.86
_cell_angle_gamma 90.00
loop_
_atom_site_label
_atom_site_type_symbol
_atom_site_fract_x
_atom_site_fract_y
_atom_site_fract_z
_atom_site_occupancy
Ir1 Ir 0.532 0.125 0.250 1
Ir2 Ir 0.875 0.782 0.750 1
Ir3 Ir 0.218 0.625 0.250 1
Ir4 Ir 0.375 0.468 0.750 1
V1 V 0.500 0.500 0.000 1
V2 V 0.250 0.750 0.500 1
Ba1 Ba 0.750 0.250 0.500 1
Ba2 Ba 0.000 0.000 0.000 1
```

VASP energy, eV/atom: -6.8423
Polymorph energy (0 for the lowest one), meV/atom: 0
DFT formation energy, meV per atom: 349
DOS(E_F), states/eV per atom: 0.94
Volume, Å³ per atom: 23.79
Space-group type: I-42d